{"formula": "Tm6SnTe5", "functional": "PBE", "state": "optimized geometry", "formation_energy_uncorrected_ev_per_atom": -1.14, "total_energy_ev_per_atom": -5.02, "lattice": [[-0.9317, -2.5444, 6.9849], [-3.4847, -6.6149, -0.2220], [3.9740, -6.3077, -0.4414]], "species": ["Te", "Te", "Te", "Te", "Te", "Tm", "Tm", "Tm", "Tm", "Tm", "Tm", "Sn"], "fractional_positions": [[0.5000, 0.1715, 0.6569], [0.5000, 0.8285, 0.3431], [0.0000, 0.6648, 0.6703], [0.5000, 0.5000, 0.0000], [0.0000, 0.3352, 0.3297], [0.2414, 0.5970, 0.3241], [0.7587, 0.0789, 0.3241], [0.7530, 0.7617, 0.0000], [0.7587, 0.4030, 0.6759], [0.2414, 0.9211, 0.6759], [0.2470, 0.2383, 0.0000], [0.0000, 0.0000, 0.0000]]}



{"formula": "Tm2SnTe", "functional": "PBE", "state": "optimized geometry", "formation_energy_uncorrected_ev_per_atom": -0.99, "total_energy_ev_per_atom": -5.01, "lattice": [[6.1241, 0.0000, 0.0000], [0.0000, 6.1191, -0.2397], [0.0000, 0.4727, 12.2891]], "species": ["Tm", "Tm", "Tm", "Tm", "Tm", "Tm", "Tm", "Tm", "Te", "Te", "Te", "Te", "Sn", "Sn", "Sn", "Sn"], "fractional_positions": [[0.2501, 0.4999, 0.3794], [0.7499, 0.9999, 0.8794], [0.2501, 0.0001, 0.1206], [0.7499, 0.5001, 0.6206], [0.7503, 0.0000, 0.3706], [0.7503, 0.5000, 0.1294], [0.2497, 0.0000, 0.6294], [0.2497, 0.5000, 0.8706], [0.2503, 0.5001, 0.1250], [0.7497, 0.0001, 0.6250], [0.7497, 0.4999, 0.8750], [0.2503, 0.9999, 0.3750], [0.7501, 0.0001, 0.1249], [0.7501, 0.4999, 0.3751], [0.2499, 0.5001, 0.6249], [0.2499, 0.9999, 0.8751]]}



Number 1 is which compound?
Tm6SnTe5